(1)
# Tc2RhO8 | Alexandria | PBE | relaxed
# energy above the most stable polymorph in this dataset = 0.000 eV/atom
# V = 191 Å³/f.u.
# total DFT energy (no corrections) = -7.306 eV per atom
data_Tc2RhO8
_chemical_formula_sum 'Tc2 Rh1 O8'
_cell_length_a 5.7520
_cell_length_b 5.7520
_cell_length_c 6.6491
_cell_angle_alpha 90.00
_cell_angle_beta 90.00
_cell_angle_gamma 120.00
_space_group_name_H-M_alt 'P -3 m 1'
_space_group_IT_number 164
_space_group_name_Hall '-P 3 2"'
loop_
_atom_site_label
_atom_site_fract_x
_atom_site_fract_y
_atom_site_fract_z
Tc1 0.3333 0.6667 0.2322
Rh1 0.0000 0.0000 0.5000
O1 0.1662 0.3324 0.3210
O2 0.3333 0.6667 0.9740


(2)
# NaLiPt | Alexandria | PBE | relaxed
# calculated formation energy = -0.3582 eV per atom
# energy above the most stable polymorph in this dataset = 0.000 eV/atom
# V = 54 Å³/f.u.
# total DFT energy (no corrections) = -3.449 eV per atom
data_NaLiPt
_chemical_formula_sum 'Na4 Li4 Pt4'
_cell_length_a 5.3645
_cell_length_b 5.3850
_cell_length_c 7.4683
_cell_angle_alpha 90.00
_cell_angle_beta 90.00
_cell_angle_gamma 90.00
_space_group_name_H-M_alt 'I m m a'
_space_group_IT_number 74
_space_group_name_Hall '-I 2b 2'
loop_
_atom_site_label
_atom_site_fract_x
_atom_site_fract_y
_atom_site_fract_z
Na1 0.0000 0.2500 0.1160
Li1 0.0000 0.0000 0.5000
Pt1 0.2500 0.2500 0.7500


(3)
# Pa4Ti | Alexandria | PBE | relaxed
# calculated formation energy = 0.3358 eV per atom
# energy above the most stable polymorph in this dataset = 0.000 eV/atom
# V = 122 Å³/f.u.
# total DFT energy (no corrections) = -8.840 eV per atom
data_Pa4Ti
_chemical_formula_sum 'Pa8 Ti2'
_cell_length_a 8.6120
_cell_length_b 6.1043
_cell_length_c 5.3138
_cell_angle_alpha 90.00
_cell_angle_beta 118.74
_cell_angle_gamma 90.00
_space_group_name_H-M_alt 'C 1 2/m 1'
_space_group_IT_number 12
loop_
_space_group_symop_operation_xyz
'x,y,z'
'-x,-y,-z'
'-x,y,-z'
'x,-y,z'
'x+1/2,y+1/2,z'
'-x+1/2,-y+1/2,-z'
'-x+1/2,y+1/2,-z'
'x+1/2,-y+1/2,z'
loop_
_atom_site_label
_atom_site_fract_x
_atom_site_fract_y
_atom_site_fract_z
Pa1 0.1224 0.0000 0.3749
Pa2 0.2500 0.2500 0.0000
Ti1 0.0000 0.5000 0.5000


(4)
# SrYOs | Alexandria | PBE | relaxed
# calculated formation energy = 0.1969 eV per atom
# energy above the most stable polymorph in this dataset = 0.000 eV/atom
# V = 86 Å³/f.u.
# total DFT energy (no corrections) = -6.262 eV per atom
data_SrYOs
_chemical_formula_sum 'Sr2 Y2 Os2'
_cell_length_a 3.5231
_cell_length_b 3.5231
_cell_length_c 13.8152
_cell_angle_alpha 90.00
_cell_angle_beta 90.00
_cell_angle_gamma 90.00
_space_group_name_H-M_alt 'I 4 m m'
_space_group_IT_number 107
_space_group_name_Hall 'I 4 -2'
loop_
_atom_site_label
_atom_site_fract_x
_atom_site_fract_y
_atom_site_fract_z
Sr1 0.0000 0.0000 0.0000
Y1 0.0000 0.0000 0.7551
Os1 0.0000 0.0000 0.3584


(5)
# AcNd2YSe6 | Alexandria | PBE | relaxed
# V = 326 Å³/f.u.
# total DFT energy (no corrections) = -5.973 eV per atom
data_AcNd2YSe6
_chemical_formula_sum 'Ac3 Nd6 Y3 Se18'
_cell_length_a 7.5252
_cell_length_b 7.5252
_cell_length_c 19.9305
_cell_angle_alpha 90.00
_cell_angle_beta 90.00
_cell_angle_gamma 120.00
_space_group_name_H-M_alt 'R 3'
_space_group_IT_number 146
_space_group_name_Hall 'R 3'
loop_
_atom_site_label
_atom_site_fract_x
_atom_site_fract_y
_atom_site_fract_z
Ac1 0.0000 0.0000 0.0000
Nd1 0.0000 0.0000 0.2877
Nd2 0.0000 0.0000 0.7948
Y1 0.0000 0.0000 0.4897
Se1 0.0239 0.7239 0.3924
Se2 0.0309 0.3527 0.5583


(6)
# Y2TeAu | Alexandria | PBE | relaxed
# V = 102 Å³/f.u.
# total DFT energy (no corrections) = -5.048 eV per atom
data_Y2TeAu
_chemical_formula_sum 'Y8 Te4 Au4'
_cell_length_a 7.4265
_cell_length_b 7.4265
_cell_length_c 7.4265
_cell_angle_alpha 90.00
_cell_angle_beta 90.00
_cell_angle_gamma 90.00
_space_group_name_H-M_alt 'F -4 3 m'
_space_group_IT_number 216
_space_group_name_Hall 'F -4 2 3'
loop_
_atom_site_label
_atom_site_fract_x
_atom_site_fract_y
_atom_site_fract_z
Y1 0.0000 0.0000 0.0000
Y2 0.2500 0.2500 0.2500
Te1 0.0000 0.0000 0.5000
Au1 0.2500 0.2500 0.7500


(7)
# CePa2 | Alexandria | PBE | relaxed
# calculated formation energy = 0.0221 eV per atom
# energy above the most stable polymorph in this dataset = 0.001 eV/atom
# V = 76 Å³/f.u.
# total DFT energy (no corrections) = -8.287 eV per atom
data_CePa2
_chemical_formula_sum 'Ce2 Pa4'
_cell_length_a 3.2780
_cell_length_b 4.7022
_cell_length_c 9.8938
_cell_angle_alpha 90.00
_cell_angle_beta 90.95
_cell_angle_gamma 90.00
_space_group_name_H-M_alt 'P 1 21/m 1'
_space_group_IT_number 11
loop_
_space_group_symop_operation_xyz
'x,y,z'
'-x,-y,-z'
'-x,y+1/2,-z'
'x,-y+1/2,z'
loop_
_atom_site_label
_atom_site_fract_x
_atom_site_fract_y
_atom_site_fract_z
Ce1 0.2505 0.2500 0.0833
Pa1 0.2476 0.2500 0.7482
Pa2 0.2521 0.2500 0.4162


(8)
# Y4TmCd | Alexandria | PBE | relaxed
# calculated formation energy = 0.0023 eV per atom
# energy above the most stable polymorph in this dataset = 0.098 eV/atom
# V = 184 Å³/f.u.
# total DFT energy (no corrections) = -5.205 eV per atom
data_Y4TmCd
_chemical_formula_sum 'Y16 Tm4 Cd4'
_cell_length_a 8.7451
_cell_length_b 14.1111
_cell_length_c 6.3264
_cell_angle_alpha 90.00
_cell_angle_beta 109.19
_cell_angle_gamma 90.00
_space_group_name_H-M_alt 'C 1 2/c 1'
_space_group_IT_number 15
loop_
_space_group_symop_operation_xyz
'x,y,z'
'-x,-y,-z'
'-x,y,-z+1/2'
'x,-y,z+1/2'
'x+1/2,y+1/2,z'
'-x+1/2,-y+1/2,-z'
'-x+1/2,y+1/2,-z+1/2'
'x+1/2,-y+1/2,z+1/2'
loop_
_atom_site_label
_atom_site_fract_x
_atom_site_fract_y
_atom_site_fract_z
Y1 0.0988 0.1906 0.0434
Y2 0.2153 0.3818 0.3764
Tm1 0.0000 0.4077 0.7500
Cd1 0.0000 0.9999 0.2500


(9)
# Tm3Mg4Pt4 | Alexandria | PBE | relaxed
# calculated formation energy = -0.9297 eV per atom
# V = 227 Å³/f.u.
# total DFT energy (no corrections) = -4.926 eV per atom
data_Tm3Mg4Pt4
_chemical_formula_sum 'Tm6 Mg8 Pt8'
_cell_length_a 3.7676
_cell_length_b 8.0346
_cell_length_c 15.0142
_cell_angle_alpha 90.00
_cell_angle_beta 90.00
_cell_angle_gamma 90.00
_space_group_name_H-M_alt 'I m m m'
_space_group_IT_number 71
_space_group_name_Hall '-I 2 2'
loop_
_atom_site_label
_atom_site_fract_x
_atom_site_fract_y
_atom_site_fract_z
Tm1 0.0000 0.0000 0.0000
Tm2 0.0000 0.5000 0.1093
Mg1 0.0000 0.3092 0.3281
Pt1 0.0000 0.0000 0.2454
Pt2 0.0000 0.2071 0.5000


(10)
# K6Rb7 | Alexandria | PBE | relaxed
# calculated formation energy = 0.0445 eV per atom
# V = 1106 Å³/f.u.
# total DFT energy (no corrections) = -0.983 eV per atom
data_K6Rb7
_chemical_formula_sum 'K18 Rb21'
_cell_length_a 8.9498
_cell_length_b 8.9498
_cell_length_c 47.8311
_cell_angle_alpha 90.00
_cell_angle_beta 90.00
_cell_angle_gamma 120.00
_space_group_name_H-M_alt 'R -3 m'
_space_group_IT_number 166
_space_group_name_Hall '-R 3 2"'
loop_
_atom_site_label
_atom_site_fract_x
_atom_site_fract_y
_atom_site_fract_z
K1 0.0000 0.0000 0.0444
K2 0.0000 0.0000 0.1489
K3 0.0000 0.0000 0.3339
Rb1 0.0000 0.0000 0.5000
Rb2 0.0049 0.5024 0.9129


(11)
# CuRu2Cl | Alexandria | PBE | relaxed
# energy above the most stable polymorph in this dataset = 0.453 eV/atom
# V = 58 Å³/f.u.
# total DFT energy (no corrections) = -5.426 eV per atom
data_CuRu2Cl
_chemical_formula_sum 'Cu2 Ru4 Cl2'
_cell_length_a 2.7631
_cell_length_b 4.8910
_cell_length_c 8.5623
_cell_angle_alpha 90.00
_cell_angle_beta 90.00
_cell_angle_gamma 90.00
_space_group_name_H-M_alt 'C m m m'
_space_group_IT_number 65
_space_group_name_Hall '-C 2 2'
loop_
_atom_site_label
_atom_site_fract_x
_atom_site_fract_y
_atom_site_fract_z
Cu1 0.0000 0.0000 0.0000
Ru1 0.0000 0.5000 0.2540
Cl1 0.0000 0.0000 0.5000


(12)
# Be2ReTe | Alexandria | PBE | relaxed
# V = 55 Å³/f.u.
# total DFT energy (no corrections) = -5.216 eV per atom
data_Be2ReTe
_chemical_formula_sum 'Be4 Re2 Te2'
_cell_length_a 3.2726
_cell_length_b 4.3258
_cell_length_c 7.7181
_cell_angle_alpha 90.00
_cell_angle_beta 90.00
_cell_angle_gamma 90.00
_space_group_name_H-M_alt 'I m m 2'
_space_group_IT_number 44
loop_
_space_group_symop_operation_xyz
'x,y,z'
'-x,-y,z'
'-x,y,z'
'x,-y,z'
'x+1/2,y+1/2,z+1/2'
'-x+1/2,-y+1/2,z+1/2'
'-x+1/2,y+1/2,z+1/2'
'x+1/2,-y+1/2,z+1/2'
loop_
_atom_site_label
_atom_site_fract_x
_atom_site_fract_y
_atom_site_fract_z
Be1 0.0000 0.0000 0.0000
Be2 0.0000 0.5000 0.3031
Re1 0.0000 0.0000 0.5441
Te1 0.0000 0.5000 0.7634


(13)
# Al2OsW | Alexandria | PBE | relaxed
# calculated formation energy = -0.0772 eV per atom
# energy above the most stable polymorph in this dataset = 0.186 eV/atom
# V = 59 Å³/f.u.
# total DFT energy (no corrections) = -7.994 eV per atom
data_Al2OsW
_chemical_formula_sum 'Al4 Os2 W2'
_cell_length_a 3.9109
_cell_length_b 3.9109
_cell_length_c 7.7622
_cell_angle_alpha 90.00
_cell_angle_beta 90.00
_cell_angle_gamma 90.00
_space_group_name_H-M_alt 'I -4 m 2'
_space_group_IT_number 119
_space_group_name_Hall 'I -4 -2'
loop_
_atom_site_label
_atom_site_fract_x
_atom_site_fract_y
_atom_site_fract_z
Al1 0.0000 0.0000 0.0000
Al2 0.0000 0.5000 0.2500
Os1 0.0000 0.5000 0.7500
W1 0.0000 0.0000 0.5000


(14)
# CaSe2F | Alexandria | PBE | relaxed
# energy above the most stable polymorph in this dataset = 0.759 eV/atom
# V = 81 Å³/f.u.
# total DFT energy (no corrections) = -3.560 eV per atom
data_CaSe2F
_chemical_formula_sum 'Ca4 Se8 F4'
_cell_length_a 6.8724
_cell_length_b 6.8724
_cell_length_c 6.8724
_cell_angle_alpha 90.00
_cell_angle_beta 90.00
_cell_angle_gamma 90.00
_space_group_name_H-M_alt 'F m -3 m'
_space_group_IT_number 225
_space_group_name_Hall '-F 4 2 3'
loop_
_atom_site_label
_atom_site_fract_x
_atom_site_fract_y
_atom_site_fract_z
Ca1 0.0000 0.0000 0.0000
Se1 0.2500 0.2500 0.2500
F1 0.0000 0.0000 0.5000


(15)
# Sm2Y5Tm3 | Alexandria | PBE | relaxed
# calculated formation energy = 0.1899 eV per atom
# V = 329 Å³/f.u.
# total DFT energy (no corrections) = -5.327 eV per atom
data_Sm2Y5Tm3
_chemical_formula_sum 'Sm8 Y20 Tm12'
_cell_length_a 10.6686
_cell_length_b 16.0359
_cell_length_c 9.3366
_cell_angle_alpha 90.00
_cell_angle_beta 124.62
_cell_angle_gamma 90.00
_space_group_name_H-M_alt 'C 1 2/c 1'
_space_group_IT_number 15
loop_
_space_group_symop_operation_xyz
'x,y,z'
'-x,-y,-z'
'-x,y,-z+1/2'
'x,-y,z+1/2'
'x+1/2,y+1/2,z'
'-x+1/2,-y+1/2,-z'
'-x+1/2,y+1/2,-z+1/2'
'x+1/2,-y+1/2,z+1/2'
loop_
_atom_site_label
_atom_site_fract_x
_atom_site_fract_y
_atom_site_fract_z
Sm1 0.1413 0.1230 0.0442
Y1 0.0000 0.2310 0.2500
Y2 0.0000 0.2731 0.7500
Y3 0.0000 0.4711 0.7500
Y4 0.2372 0.3850 0.2283
Tm1 0.0000 0.0270 0.2500
Tm2 0.1561 0.3805 0.5494


(16)
# Tb3YAs4 | Alexandria | PBE | relaxed
# calculated formation energy = -1.5461 eV per atom
# energy above the most stable polymorph in this dataset = 0.003 eV/atom
# V = 200 Å³/f.u.
# total DFT energy (no corrections) = -6.415 eV per atom
data_Tb3YAs4
_chemical_formula_sum 'Tb6 Y2 As8'
_cell_length_a 8.2690
_cell_length_b 11.6936
_cell_length_c 4.1366
_cell_angle_alpha 90.00
_cell_angle_beta 90.00
_cell_angle_gamma 90.00
_space_group_name_H-M_alt 'C m m m'
_space_group_IT_number 65
_space_group_name_Hall '-C 2 2'
loop_
_atom_site_label
_atom_site_fract_x
_atom_site_fract_y
_atom_site_fract_z
Tb1 0.0000 0.0000 0.0000
Tb2 0.2500 0.2500 0.5000
Y1 0.0000 0.5000 0.0000
As1 0.0000 0.2502 0.0000
As2 0.2503 0.0000 0.5000


(17)
# CsK3Na7 | Alexandria | PBE | relaxed
# calculated formation energy = 0.0932 eV per atom
# V = 605 Å³/f.u.
# total DFT energy (no corrections) = -1.123 eV per atom
data_CsK3Na7
_chemical_formula_sum 'Cs2 K6 Na14'
_cell_length_a 10.9346
_cell_length_b 14.3280
_cell_length_c 8.0755
_cell_angle_alpha 90.00
_cell_angle_beta 106.93
_cell_angle_gamma 90.00
_space_group_name_H-M_alt 'C 1 2/m 1'
_space_group_IT_number 12
loop_
_space_group_symop_operation_xyz
'x,y,z'
'-x,-y,-z'
'-x,y,-z'
'x,-y,z'
'x+1/2,y+1/2,z'
'-x+1/2,-y+1/2,-z'
'-x+1/2,y+1/2,-z'
'x+1/2,-y+1/2,z'
loop_
_atom_site_label
_atom_site_fract_x
_atom_site_fract_y
_atom_site_fract_z
Cs1 0.0000 0.0000 0.0000
K1 0.0000 0.2638 0.5000
K2 0.0000 0.5000 0.0000
Na1 0.0000 0.0000 0.5000
Na2 0.1777 0.2697 0.1565
Na3 0.1888 0.5000 0.5207


(18)
# PrNd2Y | Alexandria | PBE | relaxed
# calculated formation energy = 0.0132 eV per atom
# energy above the most stable polymorph in this dataset = 0.003 eV/atom
# V = 139 Å³/f.u.
# total DFT energy (no corrections) = -5.182 eV per atom
data_PrNd2Y
_chemical_formula_sum 'Pr2 Nd4 Y2'
_cell_length_a 5.1956
_cell_length_b 5.1956
_cell_length_c 10.3087
_cell_angle_alpha 90.00
_cell_angle_beta 90.00
_cell_angle_gamma 90.00
_space_group_name_H-M_alt 'I -4 m 2'
_space_group_IT_number 119
_space_group_name_Hall 'I -4 -2'
loop_
_atom_site_label
_atom_site_fract_x
_atom_site_fract_y
_atom_site_fract_z
Pr1 0.0000 0.0000 0.0000
Nd1 0.0000 0.0000 0.5000
Nd2 0.0000 0.5000 0.2500
Y1 0.0000 0.5000 0.7500


(19)
# TmNpRh2 | Alexandria | PBE | relaxed
# calculated formation energy = -0.4223 eV per atom
# energy above the most stable polymorph in this dataset = 0.140 eV/atom
# V = 86 Å³/f.u.
# total DFT energy (no corrections) = -8.451 eV per atom
data_TmNpRh2
_chemical_formula_sum 'Tm3 Np3 Rh6'
_cell_length_a 3.9578
_cell_length_b 3.9578
_cell_length_c 19.1137
_cell_angle_alpha 90.00
_cell_angle_beta 90.00
_cell_angle_gamma 120.00
_space_group_name_H-M_alt 'R -3 m'
_space_group_IT_number 166
_space_group_name_Hall '-R 3 2"'
loop_
_atom_site_label
_atom_site_fract_x
_atom_site_fract_y
_atom_site_fract_z
Tm1 0.0000 0.0000 0.0000
Np1 0.0000 0.0000 0.5000
Rh1 0.0000 0.0000 0.2435


(20)
# CrSbS2 | Alexandria | PBE | relaxed
# V = 103 Å³/f.u.
# total DFT energy (no corrections) = -5.776 eV per atom
data_CrSbS2
_chemical_formula_sum 'Cr2 Sb2 S4'
_cell_length_a 5.3171
_cell_length_b 5.9013
_cell_length_c 7.2278
_cell_angle_alpha 101.51
_cell_angle_beta 111.57
_cell_angle_gamma 90.71
_space_group_name_H-M_alt 'P -1'
_space_group_IT_number 2
loop_
_space_group_symop_operation_xyz
'x,y,z'
'-x,-y,-z'
loop_
_atom_site_label
_atom_site_fract_x
_atom_site_fract_y
_atom_site_fract_z
Cr1 0.2435 0.9998 0.0000
Sb1 0.1853 0.9229 0.3722
S1 0.1114 0.2631 0.2152
S2 0.4465 0.2267 0.8871